Record 1
An optimized crystal structure of BaCd3Hg3, computed with PBE-GGA.

Energy of formation from the pure elements (eV/atom): -0.2547
D(E_F) (states/eV/f.u.): 3.94
DFT total energy (eV/atom): -1.05
Energy above the lowest structure with this stoichiometry (eV per formula unit): 0.00

Cell lengths 5.284, 7.277, 10.908 Å; angles 114.69, 90.00, 90.00 degrees
Fractional positions:
Cd 0.750 0.928 0.855
Hg 0.250 0.031 0.605
Ba 0.250 0.629 0.276
Hg 0.250 0.639 0.941
Cd 0.750 0.297 0.307
Hg 0.750 0.361 0.059
Cd 0.250 0.072 0.145
Hg 0.750 0.969 0.395
Cd 0.750 0.807 0.091
Hg 0.750 0.706 0.546
Ba 0.750 0.371 0.724
Cd 0.250 0.193 0.909
Hg 0.250 0.294 0.454
Cd 0.250 0.703 0.693

=====

Record 2
An optimized crystal structure of Sm4HoTh3, computed with PBE-GGA.

Energy of formation from the pure elements (eV/atom): 0.0336
D(E_F) (states/eV/f.u.): 11.25
DFT total energy (eV/atom): -5.68

Cell lengths 5.071, 10.226, 10.156 Å; angles 90.00, 90.00, 90.00 degrees
Fractional positions:
Sm 0.064 0.132 0.749
Th 0.564 0.621 0.000
Ho 0.564 0.620 0.500
Sm 0.564 0.129 0.000
Sm 0.064 0.871 0.500
Th 0.564 0.380 0.748
Th 0.064 0.379 0.500
Sm 0.064 0.865 0.000
Th 0.064 0.620 0.248
Sm 0.564 0.135 0.500
Th 0.564 0.380 0.252
Th 0.064 0.620 0.752
Sm 0.064 0.132 0.251
Sm 0.564 0.868 0.249
Ho 0.064 0.380 0.000
Sm 0.564 0.868 0.751

=====

Record 3
An optimized crystal structure of CaInGaSi2, computed with PBE-GGA.

Formation energy without anion corrections (eV/atom): 0.584
D(E_F) (states/eV/f.u.): 2.72
DFT total energy (eV/atom): -3.14
Energy above the lowest structure with this stoichiometry (eV per formula unit): 0.00

Cell lengths 5.211, 5.216, 5.211 Å; angles 90.00, 90.00, 90.00 degrees
Fractional positions:
Si 0.500 0.000 0.000
Si 0.000 0.000 0.500
In 0.000 0.000 0.000
Ca 0.500 0.500 0.500
Ga 0.000 0.500 0.000

=====

Record 4
An optimized crystal structure of Ac2Ag3PdO6, computed with PBE-GGA.

Formation energy without anion corrections (eV/atom): -1.430
DFT total energy (eV/atom): -5.74

Cell lengths 6.432, 6.432, 6.537 Å; angles 82.18, 82.18, 119.18 degrees
Site moments in Bohr magnetons follow the coordinates.
Fractional positions:
O 0.242 0.959 0.168  0.02
Ag 0.132 0.868 0.500  0.00
Ag 0.868 0.132 0.500  0.00
Ac 0.668 0.332 0.000  0.01
O 0.378 0.378 0.822  0.13
Ac 0.332 0.668 0.000  0.01
Pd 0.000 0.000 0.000  0.55
O 0.041 0.758 0.832  0.02
O 0.959 0.242 0.168  0.02
O 0.758 0.041 0.832  0.02
Ag 0.500 0.500 0.500  0.03
O 0.622 0.622 0.178  0.13

=====

The lowest DFT total energy belongs to which entry? Ac2Ag3PdO6